Computed, not measured: CsBa2MoO6 after structural relaxation at the PBE+U level of DFT.

Cell: 6.171 6.867 10.993 Å, 90.00 123.12 90.00°
Fractional positions:
Cs 0.000 0.000 0.000
Cs 0.000 0.500 0.500
Ba 0.219 0.034 0.726
Ba 0.219 0.466 0.226
Ba 0.781 0.534 0.774
Ba 0.781 0.966 0.274
Mo 0.500 0.000 0.500
Mo 0.500 0.500 0.000
O 0.208 0.137 0.481
O 0.208 0.363 0.981
O 0.267 0.720 0.893
O 0.267 0.780 0.393
O 0.425 0.111 0.317
O 0.425 0.389 0.817
O 0.575 0.611 0.183
O 0.575 0.889 0.683
O 0.733 0.220 0.607
O 0.733 0.280 0.107
O 0.792 0.637 0.019
O 0.792 0.863 0.519

Results
Energy   -6.147 eV/atom
Symmetry   P2_1/c (14)
DOS at the Fermi energy   11.69 states/eV per cell